## Ti3Zn2O8 (PBEsol)

Data for an optimized crystal structure of Ti3Zn2O8.

distance to the lowest polymorph of the same formula	85	meV per atom
spin magnetization	0.0	μB/cell
crystal system	trigonal
E_form (uncorrected)	-32.30	eV/f.u.

Cell: 5.8250 5.8250 5.8250 Å, 61.46 61.46 61.46°
Closest atoms and distances in Å follow each position.
Atoms (fractional coordinates):
Ti: 0.5000 0.0000 0.0000  6 O 1.93-2.03
Ti: 0.0000 0.0000 0.5000  6 O 1.93-2.03
Ti: 0.0000 0.5000 0.0000  6 O 1.93-2.03
Zn: 0.6148 0.6148 0.6148  4 O 1.94-2.00
Zn: 0.3852 0.3852 0.3852  4 O 1.94-2.00
O: 0.2518 0.7861 0.2518  2 Ti 1.93, 1 Zn 1.94
O: 0.2518 0.2518 0.7861  2 Ti 1.93, 1 Zn 1.94
O: 0.7861 0.2518 0.2518  2 Ti 1.93, 1 Zn 1.94
O: 0.2437 0.2437 0.2437  1 Zn 2.00, 3 Ti 2.03
O: 0.7563 0.7563 0.7563  1 Zn 2.00, 3 Ti 2.03
O: 0.7482 0.7482 0.2139  2 Ti 1.93, 1 Zn 1.94
O: 0.2139 0.7482 0.7482  2 Ti 1.93, 1 Zn 1.94
O: 0.7482 0.2139 0.7482  2 Ti 1.93, 1 Zn 1.94

=====

## TiZnO3 (PBEsol)

Data for an optimized crystal structure of TiZnO3.

spin magnetization	0.0	μB/cell
crystal system	trigonal
E_form (uncorrected)	-11.90	eV/f.u.

Cell: 5.0801 5.0801 5.4370 Å, 62.15 62.15 60.00°
Closest atoms and distances in Å follow each position.
Atoms (fractional coordinates):
Ti: 0.4999 0.4999 0.5002  3 O 1.86
Ti: 0.9999 0.9999 0.0002  3 O 1.86
Zn: 0.2199 0.2199 0.3402  6 O 2.01-2.24
Zn: 0.7199 0.7199 0.8402  6 O 2.01-2.24
O: 0.3928 0.1364 0.6903  1 Ti 1.86, 1 Zn 2.01
O: 0.7806 0.3928 0.6903  1 Ti 1.86, 1 Zn 2.01
O: 0.1364 0.7806 0.6903  1 Ti 1.86, 1 Zn 2.01
O: 0.2806 0.6364 0.1903  1 Ti 1.86, 1 Zn 2.01
O: 0.8928 0.2806 0.1903  1 Ti 1.86, 1 Zn 2.01
O: 0.6364 0.8928 0.1903  1 Ti 1.86, 1 Zn 2.01

=====

## Ti3Zn2O8 (PBEsol)

Data for an optimized crystal structure of Ti3Zn2O8.

distance to the lowest polymorph of the same formula	44	meV per atom
spin magnetization	0.0	μB/cell
crystal system	monoclinic
E_form (uncorrected)	-32.83	eV/f.u.

Cell: 5.0682 5.9900 6.4466 Å, 117.68 119.63 90.00°
Closest atoms and distances in Å follow each position.
Atoms (fractional coordinates):
Ti: 0.5000 0.0000 0.0000  6 O 1.94-1.99
Ti: 0.0000 0.2657 0.0000  6 O 1.90-2.09
Ti: 0.0000 0.7343 0.0000  6 O 1.90-2.09
Zn: 0.7139 0.6842 0.3684  4 O 1.95-2.01
Zn: 0.2861 0.3158 0.6316  4 O 1.95-2.01
O: 0.0062 0.3896 0.7791  2 Ti 1.90, 1 Zn 2.01
O: 0.9938 0.6104 0.2209  2 Ti 1.90, 1 Zn 2.01
O: 0.0270 0.8887 0.7774  1 Zn 1.96, 3 Ti 1.99-2.09
O: 0.9730 0.1113 0.2226  1 Zn 1.96, 3 Ti 1.99-2.09
O: 0.4554 0.8752 0.2136  2 Ti 1.93-1.94, 1 Zn 1.95
O: 0.4554 0.3383 0.2136  2 Ti 1.93-1.94, 1 Zn 1.95
O: 0.5446 0.6617 0.7864  2 Ti 1.93-1.94, 1 Zn 1.95
O: 0.5446 0.1248 0.7864  2 Ti 1.93-1.94, 1 Zn 1.95

=====

## Ti3Zn2O8 (PBEsol)

Data for an optimized crystal structure of Ti3Zn2O8.

distance to the lowest polymorph of the same formula	0	meV per atom
spin magnetization	0.0	μB/cell
crystal system	cubic
E_form (uncorrected)	-33.40	eV/f.u.

Cell: 8.3725 8.3725 8.3725 Å, 90.00 90.00 90.00°
Closest atoms and distances in Å follow each position.
Atoms (fractional coordinates):
Ti: 0.6250 0.1366 0.1134  6 O 1.86-2.06
Ti: 0.6134 0.8750 0.8634  6 O 1.86-2.06
Ti: 0.6366 0.3866 0.3750  6 O 1.86-2.06
Ti: 0.3634 0.8866 0.1250  6 O 1.86-2.06
Ti: 0.8866 0.1250 0.3634  6 O 1.86-2.06
Ti: 0.1134 0.6250 0.1366  6 O 1.86-2.06
Ti: 0.3866 0.3750 0.6366  6 O 1.86-2.06
Ti: 0.8634 0.6134 0.8750  6 O 1.86-2.06
Ti: 0.1366 0.1134 0.6250  6 O 1.86-2.06
Ti: 0.3750 0.6366 0.3866  6 O 1.86-2.06
Ti: 0.8750 0.8634 0.6134  6 O 1.86-2.06
Ti: 0.1250 0.3634 0.8866  6 O 1.86-2.06
Zn: 0.2563 0.2563 0.2563  4 O 1.95-1.96
Zn: 0.0063 0.4937 0.5063  4 O 1.95-1.96
Zn: 0.4937 0.5063 0.0063  4 O 1.95-1.96
Zn: 0.5063 0.0063 0.4937  4 O 1.95-1.96
Zn: 0.7563 0.2437 0.7437  4 O 1.95-1.96
Zn: 0.2437 0.7437 0.7563  4 O 1.95-1.96
Zn: 0.7437 0.7563 0.2437  4 O 1.95-1.96
Zn: 0.9937 0.9937 0.9937  4 O 1.95-1.96
O: 0.1101 0.1430 0.8587  2 Ti 1.86-1.98, 1 Zn 1.95
O: 0.6101 0.3570 0.1413  2 Ti 1.86-1.98, 1 Zn 1.95
O: 0.1430 0.8587 0.1101  2 Ti 1.86-1.98, 1 Zn 1.95
O: 0.8570 0.3587 0.3899  2 Ti 1.86-1.98, 1 Zn 1.95
O: 0.8587 0.1101 0.1430  2 Ti 1.86-1.98, 1 Zn 1.95
O: 0.6413 0.8899 0.6430  2 Ti 1.86-1.98, 1 Zn 1.95
O: 0.3601 0.6087 0.6070  2 Ti 1.86-1.98, 1 Zn 1.95
O: 0.8601 0.8913 0.3930  2 Ti 1.86-1.98, 1 Zn 1.95
O: 0.6399 0.1087 0.8930  2 Ti 1.86-1.98, 1 Zn 1.95
O: 0.8913 0.3930 0.8601  2 Ti 1.86-1.98, 1 Zn 1.95
O: 0.8930 0.6399 0.1087  2 Ti 1.86-1.98, 1 Zn 1.95
O: 0.3930 0.8601 0.8913  2 Ti 1.86-1.98, 1 Zn 1.95
O: 0.6087 0.6070 0.3601  2 Ti 1.86-1.98, 1 Zn 1.95
O: 0.6070 0.3601 0.6087  2 Ti 1.86-1.98, 1 Zn 1.95
O: 0.1087 0.8930 0.6399  2 Ti 1.86-1.98, 1 Zn 1.95
O: 0.3913 0.1070 0.1399  2 Ti 1.86-1.98, 1 Zn 1.95
O: 0.1070 0.1399 0.3913  2 Ti 1.86-1.98, 1 Zn 1.95
O: 0.1413 0.6101 0.3570  2 Ti 1.86-1.98, 1 Zn 1.95
O: 0.3587 0.3899 0.8570  2 Ti 1.86-1.98, 1 Zn 1.95
O: 0.6430 0.6413 0.8899  2 Ti 1.86-1.98, 1 Zn 1.95
O: 0.3914 0.3914 0.3914  1 Zn 1.96, 3 Ti 2.06
O: 0.1414 0.3586 0.6414  1 Zn 1.96, 3 Ti 2.06
O: 0.6414 0.1414 0.3586  1 Zn 1.96, 3 Ti 2.06
O: 0.3586 0.6414 0.1414  1 Zn 1.96, 3 Ti 2.06
O: 0.1086 0.6086 0.8914  1 Zn 1.96, 3 Ti 2.06
O: 0.8914 0.1086 0.6086  1 Zn 1.96, 3 Ti 2.06
O: 0.6086 0.8914 0.1086  1 Zn 1.96, 3 Ti 2.06
O: 0.8586 0.8586 0.8586  1 Zn 1.96, 3 Ti 2.06
O: 0.1399 0.3913 0.1070  2 Ti 1.86-1.98, 1 Zn 1.95
O: 0.8899 0.6430 0.6413  2 Ti 1.86-1.98, 1 Zn 1.95
O: 0.3899 0.8570 0.3587  2 Ti 1.86-1.98, 1 Zn 1.95
O: 0.3570 0.1413 0.6101  2 Ti 1.86-1.98, 1 Zn 1.95

=====

## TiZnO3 (PBEsol)

Data for an optimized crystal structure of TiZnO3.

spin magnetization	0.0	μB/cell
crystal system	trigonal
E_form (uncorrected)	-12.04	eV/f.u.

Cell: 5.0702 5.0702 5.4649 Å, 62.36 62.36 60.00°
Closest atoms and distances in Å follow each position.
Atoms (fractional coordinates):
Ti: 0.1460 0.1460 0.5621  6 O 1.87-2.08
Ti: 0.8540 0.8540 0.4379  6 O 1.87-2.08
Zn: 0.3604 0.3604 0.9188  6 O 2.02-2.22
Zn: 0.6396 0.6396 0.0812  6 O 2.02-2.22
O: 0.0503 0.7742 0.7377  2 Ti 1.87-2.08, 1 Zn 2.02
O: 0.7742 0.4378 0.7377  2 Ti 1.87-2.08, 1 Zn 2.02
O: 0.4378 0.0503 0.7377  2 Ti 1.87-2.08, 1 Zn 2.02
O: 0.9497 0.2258 0.2623  2 Ti 1.87-2.08, 1 Zn 2.02
O: 0.5622 0.9497 0.2623  2 Ti 1.87-2.08, 1 Zn 2.02
O: 0.2258 0.5622 0.2623  2 Ti 1.87-2.08, 1 Zn 2.02

=====

## ZrTiZn4O8 (PBEsol)

Data for an optimized crystal structure of ZrTiZn4O8.

spin magnetization	0.0	μB/cell
crystal system	monoclinic
E_form (uncorrected)	-30.10	eV/f.u.

Cell: 5.9350 6.0762 6.0987 Å, 60.48 60.88 60.77°
Closest atoms and distances in Å follow each position.
Atoms (fractional coordinates):
Zr: 0.0000 0.5000 0.5000  6 O 2.07-2.10
Ti: 0.0000 0.0000 0.0000  6 O 1.96-1.99
Zn: 0.3607 0.3848 0.8938  4 O 1.96-2.00
Zn: 0.6393 0.6152 0.1062  4 O 1.96-2.00
Zn: 0.5000 0.0000 0.5000  6 O 2.04-2.21
Zn: 0.0000 0.0000 0.5000  6 O 2.04-2.21
O: 0.7615 0.7604 0.7167  3 Zn 1.96-2.04, 1 Zr 2.07
O: 0.2315 0.7576 0.2353  1 Ti 1.99, 2 Zn 2.00-2.21, 1 Zr 2.10
O: 0.7685 0.2424 0.7647  1 Ti 1.99, 2 Zn 2.00-2.21, 1 Zr 2.10
O: 0.2385 0.2396 0.2833  3 Zn 1.96-2.04, 1 Zr 2.07
O: 0.7739 0.2163 0.2358  1 Ti 1.96, 3 Zn 1.99-2.10
O: 0.7756 0.7576 0.2353  1 Ti 1.99, 2 Zn 2.00-2.21, 1 Zr 2.10
O: 0.2244 0.2424 0.7647  1 Ti 1.99, 2 Zn 2.00-2.21, 1 Zr 2.10
O: 0.2261 0.7837 0.7642  1 Ti 1.96, 3 Zn 1.99-2.10

=====

## ZrTiO4 (PBEsol)

Data for an optimized crystal structure of ZrTiO4.

spin magnetization	0.0	μB/cell
crystal system	triclinic
E_form (uncorrected)	-19.51	eV/f.u.

Cell: 4.9123 5.3547 9.9721 Å, 95.16 92.28 91.21°
Closest atoms and distances in Å follow each position.
Atoms (fractional coordinates):
Zr: 0.0419 0.7283 0.8933  5 O 2.01-2.23
Zr: 0.9635 0.2881 0.1099  6 O 2.04-2.27
Zr: 0.0203 0.7095 0.3920  7 O 2.05-2.27
Zr: 0.4530 0.2121 0.3964  6 O 2.01-2.21
Ti: 0.9939 0.3003 0.6278  5 O 1.87-2.08
Ti: 0.4917 0.1891 0.8703  5 O 1.86-2.01
Ti: 0.5140 0.8270 0.1330  5 O 1.82-2.03
Ti: 0.5425 0.7861 0.6245  4 O 1.83-1.93
O: 0.2506 0.5851 0.0449  1 Ti 1.94, 1 Zr 2.01
O: 0.2912 0.5365 0.5359  1 Ti 1.93
O: 0.1938 0.4001 0.2828  3 Zr 2.01-2.11
O: 0.2308 0.3760 0.7868  2 Ti 1.86-1.94
O: 0.3313 0.8730 0.7752  2 Ti 1.89-1.99, 1 Zr 2.06
O: 0.2564 0.9044 0.2703  1 Ti 1.92, 1 Zr 2.05
O: 0.1947 0.0386 0.5307  1 Ti 1.94, 1 Zr 2.14
O: 0.2552 0.0689 0.0071  1 Ti 1.97, 1 Zr 2.11
O: 0.6759 0.8881 0.4638  1 Ti 1.88, 1 Zr 2.08
O: 0.7439 0.9475 0.9851  2 Ti 2.03-2.18, 1 Zr 2.08
O: 0.7250 0.1241 0.7103  2 Ti 1.87-2.01
O: 0.6823 0.1339 0.2249  1 Ti 1.96, 2 Zr 2.04-2.10
O: 0.7636 0.6299 0.2098  1 Ti 1.82
O: 0.8033 0.3979 0.4721  1 Ti 1.90, 1 Zr 2.05
O: 0.7586 0.4255 0.9467  1 Ti 1.89, 1 Zr 2.08
O: 0.8226 0.6299 0.7065  1 Ti 1.83